No. 1
Entry from Alexandria via LeMat-Bulk: a relaxed IrPtRh2 crystal (PBE-GGA).

Its formation energy is 0.496 eV/atom. The calculation puts the total magnetization at 0.00 μB per atom.

The space group is I-42d (No. 122) and the conventional cell measures 6.927, 6.927 and 5.425 Å, with angles of 90.00, 90.00 and 90.00 degrees. The asymmetric unit holds Ir at (0.000, 0.000, 0.000), Pt at (0.000, 0.000, 0.500) and Rh at (0.234, 0.250, 0.125).

=====

No. 2
Entry from Alexandria via LeMat-Bulk: a relaxed IrPt6Rh2 crystal (PBE-GGA).

Its formation energy is 0.008 eV/atom. The calculation puts the total magnetization at 0.00 μB per atom.

The space group is P-1 (No. 2) and the conventional cell measures 4.809, 4.818 and 6.222 Å, with angles of 75.03, 82.34 and 80.60 degrees. The asymmetric unit holds Ir at (0.000, 0.000, 0.000), Pt at (0.111, 0.555, 0.778), Pt at (0.221, 0.113, 0.559), Pt at (0.445, 0.219, 0.110) and Rh at (0.331, 0.667, 0.333).

=====

No. 3
Entry from Alexandria via LeMat-Bulk: a relaxed Ir2PtRh5 crystal (PBE-GGA).

Its formation energy is -0.032 eV/atom. The calculation puts the total magnetization at 0.00 μB per atom.

The space group is I4/mmm (No. 139) and the conventional cell measures 3.860, 3.860 and 15.499 Å, with angles of 90.00, 90.00 and 90.00 degrees. The asymmetric unit holds Ir at (0.000, 0.000, 0.249), Pt at (0.000, 0.000, 0.000), Rh at (0.000, 0.000, 0.500) and Rh at (0.000, 0.500, 0.128).

=====

No. 4
Entry from Alexandria via LeMat-Bulk: a relaxed IrPt2Rh crystal (PBE-GGA).

Its formation energy is -0.013 eV/atom. The calculation puts the total magnetization at 0.00 μB per atom.

The space group is P4mm (No. 99) and the conventional cell measures 2.757, 2.757 and 7.902 Å, with angles of 90.00, 90.00 and 90.00 degrees. The asymmetric unit holds Ir at (0.000, 0.000, 0.000), Pt at (0.000, 0.000, 0.515), Pt at (0.500, 0.500, 0.250) and Rh at (0.500, 0.500, 0.769).

=====

No. 5
Entry from Alexandria via LeMat-Bulk: a relaxed IrPt2Rh crystal (PBE-GGA).

Its formation energy is 0.277 eV/atom. The calculation puts the total magnetization at 0.14 μB per atom.

The space group is Fm-3m (No. 225) and the conventional cell measures 6.260, 6.260 and 6.260 Å, with angles of 90.00, 90.00 and 90.00 degrees. The asymmetric unit holds Ir at (0.000, 0.000, 0.000), Pt at (0.250, 0.250, 0.250) and Rh at (0.000, 0.000, 0.500).

=====

No. 6
Entry from Alexandria via LeMat-Bulk: a relaxed Ir2Pt2Rh crystal (PBE-GGA).

Its formation energy is 0.456 eV/atom. The calculation puts the total magnetization at 0.39 μB per atom.

The space group is P4/mbm (No. 127) and the conventional cell measures 7.628, 7.628 and 2.764 Å, with angles of 90.00, 90.00 and 90.00 degrees. The asymmetric unit holds Ir at (0.173, 0.327, 0.000), Pt at (0.126, 0.626, 0.500) and Rh at (0.000, 0.000, 0.500).

=====

No. 7
Entry from Alexandria via LeMat-Bulk: a relaxed IrPt2Rh crystal (PBE-GGA).

Its formation energy is 0.294 eV/atom. The calculation puts the total magnetization at 0.18 μB per atom.

The space group is F-43m (No. 216) and the conventional cell measures 6.263, 6.263 and 6.263 Å, with angles of 90.00, 90.00 and 90.00 degrees. The asymmetric unit holds Ir at (0.000, 0.000, 0.000), Pt at (0.000, 0.000, 0.500), Pt at (0.250, 0.250, 0.750) and Rh at (0.250, 0.250, 0.250).

=====

No. 8
Entry from Alexandria via LeMat-Bulk: a relaxed Ir4PtRh7 crystal (PBE-GGA).

Its formation energy is -0.015 eV/atom. The calculation puts the total magnetization at 0.00 μB per atom.

The space group is P-1 (No. 2) and the conventional cell measures 4.731, 5.455 and 7.228 Å, with angles of 100.95, 109.04 and 90.01 degrees. The asymmetric unit holds Ir at (0.163, 0.168, 0.164), Ir at (0.335, 0.585, 0.833), Pt at (0.500, 0.000, 0.500), Rh at (0.004, 0.253, 0.499), Rh at (0.166, 0.664, 0.164), Rh at (0.332, 0.084, 0.837) and Rh at (0.500, 0.500, 0.500).